Computed, not measured: a relaxed structure of CaAl3As at the PBE level of DFT.

Cell: 5.0399 5.0399 5.0399 Å, 90.00 90.00 90.00°
Last column: nearest neighbours and their distance in Å.
Fractional positions:
As 0.0000 0.0000 0.0000  6 Al 2.52
Ca 0.5000 0.5000 0.5000  12 Al 3.56
Al 0.0000 0.5000 0.0000  2 As 2.52
Al 0.0000 0.0000 0.5000  2 As 2.52
Al 0.5000 0.0000 0.0000  2 As 2.52

Output
- excess energy over the best structure of this formula in the dataset (eV/atom) = 0.000
- formation energy (eV/atom) = 0.293